Rb2Sb3: relaxed, GGA-PBE.

Properties
Total moment: 0.0000 μB per atom
V: 392.9 Å³/cell
DFT total energy: -31.24 eV per cell
Crystal system: orthorhombic
DOS at the Fermi energy: 7.8 states/eV per cell

```
10
Lattice="3.3484 -6.3326 0.0000 3.3484 6.3326 0.0000 0.0000 0.0000 9.2655" Properties=species:S:1:pos:R:3 pbc="T T T"
Rb 3.3484 4.2773 8.3001
Rb 3.3484 2.0553 3.6674
Rb 3.3484 -2.0553 5.5981
Rb 3.3484 -4.2773 0.9654
Sb 0.0000 0.0000 4.6328
Sb 1.6742 1.0885 6.9491
Sb 1.6742 -1.0885 2.3164
Sb 3.3484 0.0000 0.0000
Sb 5.0226 1.0885 6.9491
Sb 5.0226 -1.0885 2.3164
```

---

Al2CuAs: relaxed, GGA-PBE.

Properties
Total moment: 0.0000 μB per atom
Formation energy: 0.214 eV per atom
V: 66.7 Å³/cell
Crystal system: cubic
DOS at the Fermi energy: 1.2 states/eV per cell

```
4
Lattice="0.0000 3.2190 3.2190 3.2190 0.0000 3.2190 3.2190 3.2190 0.0000" Properties=species:S:1:pos:R:3 pbc="T T T"
Al 0.0000 0.0000 0.0000
Al 1.6095 1.6095 1.6095
Cu 4.8285 4.8285 4.8285
As 3.2190 3.2190 3.2190
```

---

TaCu2Sb: relaxed, GGA-PBE.

Properties
Total moment: 0.0001 μB per atom
V: 67.0 Å³/cell
DFT total energy: -22.57 eV per cell
Crystal system: cubic
DOS at the Fermi energy: 3.6 states/eV per cell

```
4
Lattice="0.0000 3.2232 3.2232 3.2232 0.0000 3.2232 3.2232 3.2232 0.0000" Properties=species:S:1:pos:R:3 pbc="T T T"
Ta 0.0000 0.0000 0.0000
Cu 1.6116 1.6116 1.6116
Cu 3.2232 3.2232 3.2232
Sb 4.8349 4.8349 4.8349
```

---

Ca2SiPdAu: relaxed, GGA-PBE.

Properties
Total moment: 0.0000 μB per atom
V: 137.2 Å³/cell
DFT total energy: -19.89 eV per cell
Crystal system: tetragonal
DOS at the Fermi energy: 2.2 states/eV per cell

```
5
Lattice="5.5378 0.0000 0.0000 0.0000 5.5378 0.0000 0.0000 0.0000 4.4751" Properties=species:S:1:pos:R:3 pbc="T T T"
Ca 0.0000 2.7689 0.0000
Ca 2.7689 0.0000 0.0000
Si 0.0000 0.0000 2.2376
Pd 0.0000 0.0000 0.0000
Au 2.7689 2.7689 2.2376
```

---

Cd2InAg8: relaxed, GGA-PBE.

Properties
Total moment: 0.0000 μB per atom
Formation energy: 0.068 eV per atom
V: 219.0 Å³/cell
Crystal system: monoclinic
DOS at the Fermi energy: 3.6 states/eV per cell
ΔE to the lowest computed polymorph: 100 meV per atom

```
11
Lattice="3.8433 -6.8598 0.0000 3.8433 6.8598 0.0000 -2.9264 0.0000 4.1528" Properties=species:S:1:pos:R:3 pbc="T T T"
Cd 3.8433 4.2519 0.0000
Cd 3.8433 -4.2519 0.0000
In 2.3801 0.0000 2.0764
Ag -0.3211 0.0000 1.2910
Ag -0.3094 1.6755 3.4990
Ag 2.3801 2.8263 2.0764
Ag -0.3094 -1.6755 3.4990
Ag 5.0695 1.6755 0.6538
Ag 2.3801 -2.8263 2.0764
Ag 5.0695 -1.6755 0.6538
Ag 5.0813 0.0000 2.8619
```

---

CsP2Ru2: relaxed, GGA-PBE.

Properties
Total moment: 0.0000 μB per atom
Formation energy: 0.225 eV per atom
V: 204.0 Å³/cell
Crystal system: tetragonal
DOS at the Fermi energy: 8.7 states/eV per cell

```
10
Lattice="8.1527 0.0000 0.0000 0.0000 8.1527 0.0000 0.0000 0.0000 3.0687" Properties=species:S:1:pos:R:3 pbc="T T T"
Cs 0.0000 0.0000 0.0000
Cs 4.0764 4.0764 0.0000
P 0.9158 3.1606 1.5343
P 3.1606 7.2369 1.5343
P 4.9921 0.9158 1.5343
P 7.2369 4.9921 1.5343
Ru 0.9490 5.0254 0.0000
Ru 3.1273 0.9490 0.0000
Ru 5.0254 7.2037 0.0000
Ru 7.2037 3.1273 0.0000
```

---

Y2Al3Au4: relaxed, GGA-PBE.

Properties
Total moment: 0.0000 μB per atom
Formation energy: -0.708 eV per atom
V: 352.4 Å³/cell
Crystal system: orthorhombic
DOS at the Fermi energy: 9.0 states/eV per cell

```
18
Lattice="2.9054 -7.8480 0.0000 2.9054 7.8480 0.0000 0.0000 0.0000 7.7278" Properties=species:S:1:pos:R:3 pbc="T T T"
Y 2.9054 6.1955 6.9843
Y 2.9054 1.6525 3.1204
Y 2.9054 -1.6525 4.6074
Y 2.9054 -6.1955 0.7435
Al 0.0000 0.0000 3.8639
Al 1.4527 3.6166 5.7958
Al 1.4527 -3.6166 1.9319
Al 2.9054 0.0000 0.0000
Al 4.3581 3.6166 5.7958
Al 4.3581 -3.6166 1.9319
Au 2.9054 5.0317 4.0730
Au 1.4527 0.9405 5.7958
Au 1.4527 -0.9405 1.9319
Au 2.9054 2.8162 0.2091
Au 2.9054 -2.8162 7.5187
Au 4.3581 0.9405 5.7958
Au 4.3581 -0.9405 1.9319
Au 2.9054 -5.0317 3.6548
```

---

SrLaHo2S4: relaxed, GGA-PBE.

Properties
Total moment: 0.0000 μB per atom
V: 186.1 Å³/cell
DFT total energy: -48.61 eV per cell
Crystal system: monoclinic
DOS at the Fermi energy: 3.3 states/eV per cell

```
8
Lattice="6.9854 0.0000 0.0000 0.0000 3.9997 0.0000 -2.2869 0.0000 6.6608" Properties=species:S:1:pos:R:3 pbc="T T T"
Sr 0.0000 0.0000 0.0000
La 3.4927 1.9999 0.0000
Ho -1.1434 1.9999 3.3304
Ho 2.3492 0.0000 3.3304
S 0.0256 0.0000 4.8514
S 1.1774 1.9999 1.8131
S 3.5211 1.9999 4.8477
S 4.6729 0.0000 1.8094
```

---

HoPuAl2: relaxed, GGA-PBE.

Properties
Total moment: 1.4735 μB per atom
Formation energy: -0.202 eV per atom
V: 92.2 Å³/cell
Crystal system: tetragonal
DOS at the Fermi energy: 9.0 states/eV per cell

```
4
Lattice="4.7055 0.0000 0.0000 0.0000 4.7055 0.0000 0.0000 0.0000 4.1625" Properties=species:S:1:pos:R:3 pbc="T T T"
Ho 0.0000 0.0000 0.0000
Pu 2.3528 2.3528 0.0000
Al 0.0000 2.3528 2.0813
Al 2.3528 0.0000 2.0813
```

---

PrHoCo2: relaxed, GGA-PBE.

Properties
Total moment: 0.1143 μB per atom
Formation energy: -0.114 eV per atom
V: 169.7 Å³/cell
Crystal system: orthorhombic
DOS at the Fermi energy: 9.3 states/eV per cell
ΔE to the lowest computed polymorph: 0 meV per atom

```
8
Lattice="3.8941 0.0000 0.0000 0.0000 5.7013 0.0000 0.0000 0.0000 7.6448" Properties=species:S:1:pos:R:3 pbc="T T T"
Pr 0.0000 0.7452 0.0000
Pr 0.0000 4.9561 3.8224
Ho 1.9470 2.1200 4.9145
Ho 1.9470 3.5812 1.0921
Co 0.0000 2.0760 2.7097
Co 0.0000 3.6253 6.5321
Co 1.9470 0.9989 2.2908
Co 1.9470 4.7024 6.1132
```

---

Rb2CaCl2: relaxed, GGA-PBE.

Properties
Total moment: 0.0000 μB per atom
V: 283.8 Å³/cell
Crystal system: tetragonal
DOS at the Fermi energy: 0.9 states/eV per cell
ΔE to the lowest computed polymorph: 0 meV per atom

```
5
Lattice="-3.3161 3.3161 6.4515 3.3161 -3.3161 6.4515 3.3161 3.3161 -6.4515" Properties=species:S:1:pos:R:3 pbc="T T T"
Rb 3.3161 0.0000 3.2258
Rb 0.0000 3.3161 3.2258
Ca 0.0000 0.0000 0.0000
Cl 0.0000 0.0000 2.6546
Cl 0.0000 0.0000 10.2484
```

---

CaSbAsI2: relaxed, GGA-PBE.

Properties
Total moment: 0.1324 μB per atom
V: 226.0 Å³/cell
Crystal system: tetragonal
DOS at the Fermi energy: 7.2 states/eV per cell
ΔE to the lowest computed polymorph: 298 meV per atom

```
5
Lattice="5.8906 0.0000 0.0000 0.0000 5.8906 0.0000 0.0000 0.0000 6.5139" Properties=species:S:1:pos:R:3 pbc="T T T"
Ca 0.0000 0.0000 0.0000
Sb 0.0000 0.0000 3.2570
As 2.9453 2.9453 3.2570
I 0.0000 2.9453 0.0000
I 2.9453 0.0000 0.0000
```